Entry one
YSc | PBEsol | optimized geometry

Cell: 5.320 5.937 6.869 Å, 90.00 90.00 90.00°
Atoms (fractional coordinates):
Y (0.250, 0.090, 0.627)
Y (0.750, 0.910, 0.373)
Y (0.250, 0.590, 0.873)
Y (0.750, 0.410, 0.127)
Sc (0.750, 0.423, 0.624)
Sc (0.750, 0.923, 0.876)
Sc (0.250, 0.077, 0.124)
Sc (0.250, 0.577, 0.376)

## Properties
- V: 27.120 Å³/atom
- Spin magnetization: 0.0 μB per formula unit

Entry two
YSc | PBEsol | optimized geometry

Cell: 4.338 4.338 4.338 Å, 60.00 60.00 60.00°
Atoms (fractional coordinates):
Sc (0.000, 0.000, 0.000)
Y (0.500, 0.500, 0.500)

## Properties
- V: 28.859 Å³/atom
- Spin magnetization: 1.4 μB per formula unit

Entry three
YSc | PBEsol | optimized geometry

Cell: 3.376 5.783 5.835 Å, 100.16 106.82 90.00°
Atoms (fractional coordinates):
Sc (0.629, 0.878, 0.259)
Sc (0.371, 0.122, 0.741)
Y (0.121, 0.369, 0.243)
Y (0.879, 0.631, 0.757)

## Properties
- V: 26.790 Å³/atom
- Spin magnetization: 0.0 μB per formula unit

Entry four
YSc | PBEsol | optimized geometry

Cell: 3.776 3.776 3.776 Å, 90.00 90.00 90.00°
Atoms (fractional coordinates):
Sc (0.000, 0.000, 0.000)
Y (0.500, 0.500, 0.500)

## Properties
- V: 26.911 Å³/atom
- Spin magnetization: 0.0 μB per formula unit

Quick one: least stable of them? entry two

Entry one
YSc | PBEsol | optimized geometry

Cell: 3.432 6.323 7.980 Å, 102.51 90.00 105.75°
Atoms (fractional coordinates):
Y (0.048, 0.096, 0.610)
Y (0.673, 0.345, 0.334)
Y (0.723, 0.446, 0.945)
Sc (0.995, 0.991, 0.000)
Sc (0.334, 0.668, 0.671)
Sc (0.394, 0.787, 0.273)

## Properties
- V: 27.070 Å³/atom
- Spin magnetization: 0.0 μB per formula unit

Entry two
YSc | PBEsol | optimized geometry

Cell: 3.382 3.382 9.389 Å, 90.00 90.00 90.00°
Atoms (fractional coordinates):
Y (0.000, 0.500, 0.364)
Y (0.500, 0.000, 0.636)
Sc (0.500, 0.000, 0.113)
Sc (0.000, 0.500, 0.887)

## Properties
- V: 26.846 Å³/atom
- Spin magnetization: 0.0 μB per formula unit

Quick one: least stable of them? entry two

Entry one
YSc | PBEsol | optimized geometry

Cell: 3.375 3.375 5.761 Å, 72.97 72.97 60.00°
Atoms (fractional coordinates):
Y (0.500, 0.500, 0.500)
Sc (0.000, 0.000, 0.000)

## Properties
- V: 26.737 Å³/atom
- Spin magnetization: 0.0 μB per formula unit

Entry two
YSc | PBEsol | optimized geometry

Cell: 3.428 3.428 10.652 Å, 90.00 90.00 120.00°
Atoms (fractional coordinates):
Y (0.333, 0.667, 0.364)
Y (0.667, 0.333, 0.636)
Sc (0.333, 0.667, 0.885)
Sc (0.667, 0.333, 0.115)

## Properties
- V: 27.100 Å³/atom
- Spin magnetization: 0.0 μB per formula unit

Quick one: least stable of them? entry one

Entry one
YSc | PBEsol | optimized geometry

Cell: 3.407 3.407 10.746 Å, 90.00 90.00 120.00°
Atoms (fractional coordinates):
Y (0.667, 0.333, 0.750)
Y (0.333, 0.667, 0.250)
Sc (0.000, 0.000, 0.500)
Sc (0.000, 0.000, 0.000)

## Properties
- V: 27.001 Å³/atom
- Spin magnetization: 0.0 μB per formula unit

Entry two
YSc | PBEsol | optimized geometry

Cell: 3.438 3.438 5.312 Å, 90.00 90.00 120.00°
Atoms (fractional coordinates):
Sc (0.667, 0.333, 0.500)
Y (0.000, 0.000, 0.000)

## Properties
- V: 27.189 Å³/atom
- Spin magnetization: 0.0 μB per formula unit

Entry three
YSc | PBEsol | optimized geometry

Cell: 3.406 3.406 4.617 Å, 90.00 90.00 90.03°
Atoms (fractional coordinates):
Sc (0.000, 0.000, 0.000)
Y (0.500, 0.500, 0.500)

## Properties
- V: 26.784 Å³/atom
- Spin magnetization: 0.0 μB per formula unit

Quick one: least stable of them? entry one

Entry one
YSc | PBEsol | optimized geometry

Cell: 4.756 4.756 5.815 Å, 114.14 114.14 90.00°
Atoms (fractional coordinates):
Y (0.750, 0.250, 0.500)
Y (0.500, 0.500, 0.000)
Sc (0.000, 0.000, 0.000)
Sc (0.250, 0.750, 0.500)

## Properties
- V: 26.827 Å³/atom
- Spin magnetization: 0.0 μB per formula unit

Entry two
YSc | PBEsol | optimized geometry

Cell: 3.433 5.326 5.934 Å, 90.00 90.00 90.00°
Atoms (fractional coordinates):
Sc (0.000, 0.750, 0.661)
Sc (0.000, 0.250, 0.339)
Y (0.500, 0.750, 0.174)
Y (0.500, 0.250, 0.826)

## Properties
- V: 27.125 Å³/atom
- Spin magnetization: 0.0 μB per formula unit

Quick one: least stable of them? entry one

Entry one
Y2Sc | PBEsol | optimized geometry

Cell: 3.435 3.435 7.531 Å, 103.18 103.18 90.00°
Atoms (fractional coordinates):
Y (0.339, 0.339, 0.678)
Y (0.661, 0.661, 0.322)
Sc (0.000, 0.000, 0.000)

## Properties
- V: 28.033 Å³/atom
- Spin magnetization: 0.0 μB per formula unit

Entry two
Y2Sc | PBEsol | optimized geometry

Cell: 3.486 6.440 8.074 Å, 102.33 90.00 105.70°
Atoms (fractional coordinates):
Y (0.636, 0.271, 0.531)
Y (0.688, 0.376, 0.135)
Y (0.364, 0.729, 0.469)
Y (0.312, 0.624, 0.865)
Sc (0.028, 0.056, 0.809)
Sc (0.972, 0.944, 0.191)

## Properties
- V: 28.356 Å³/atom
- Spin magnetization: 0.0 μB per formula unit

Entry three
Y2Sc | PBEsol | optimized geometry

Cell: 3.418 3.418 8.302 Å, 90.00 90.00 120.00°
Atoms (fractional coordinates):
Y (0.667, 0.333, 0.677)
Y (0.333, 0.667, 0.323)
Sc (0.000, 0.000, 0.000)

## Properties
- V: 28.002 Å³/atom
- Spin magnetization: 0.0 μB per formula unit

Entry four
Y2Sc | PBEsol | optimized geometry

Cell: 6.295 6.295 6.295 Å, 60.00 60.00 60.00°
Atoms (fractional coordinates):
Sc (0.000, 0.000, 0.000)
Sc (0.250, 0.250, 0.250)
Y (0.125, 0.625, 0.625)
Y (0.625, 0.125, 0.625)
Y (0.625, 0.625, 0.625)
Y (0.625, 0.625, 0.125)

## Properties
- V: 29.395 Å³/atom
- Spin magnetization: 0.0 μB per formula unit

Quick one: least stable of them? entry four

Entry one
Y2Sc | PBEsol | optimized geometry

Cell: 3.424 4.788 5.906 Å, 113.92 106.85 90.00°
Atoms (fractional coordinates):
Sc (0.000, 0.000, 0.000)
Y (0.663, 0.663, 0.327)
Y (0.337, 0.337, 0.673)

## Properties
- V: 27.979 Å³/atom
- Spin magnetization: 0.0 μB per formula unit

Entry two
Y2Sc | PBEsol | optimized geometry

Cell: 5.369 5.369 6.762 Å, 90.00 90.00 120.00°
Atoms (fractional coordinates):
Y (0.000, 0.000, 0.000)
Y (0.667, 0.333, 0.250)
Y (0.000, 0.000, 0.500)
Y (0.333, 0.667, 0.750)
Sc (0.667, 0.333, 0.750)
Sc (0.333, 0.667, 0.250)

## Properties
- V: 28.135 Å³/atom
- Spin magnetization: 0.0 μB per formula unit

Quick one: least stable of them? entry two

Entry one
Y2Sc | PBEsol | optimized geometry

Cell: 3.340 5.385 5.385 Å, 120.00 90.00 90.00°
Atoms (fractional coordinates):
Y (0.000, 0.667, 0.333)
Y (0.000, 0.333, 0.667)
Sc (0.500, 0.000, 0.000)

## Properties
- V: 27.957 Å³/atom
- Spin magnetization: 0.0 μB per formula unit

Entry two
Y2Sc | PBEsol | optimized geometry

Cell: 4.784 4.858 7.619 Å, 90.00 108.30 90.00°
Atoms (fractional coordinates):
Y (0.420, 0.250, 0.839)
Y (0.252, 0.750, 0.504)
Y (0.748, 0.250, 0.496)
Y (0.580, 0.750, 0.161)
Sc (0.081, 0.250, 0.163)
Sc (0.919, 0.750, 0.837)

## Properties
- V: 28.015 Å³/atom
- Spin magnetization: 0.0 μB per formula unit

Quick one: least stable of them? entry one

Entry one
Y2Sc | PBEsol | optimized geometry

Cell: 5.351 6.554 9.652 Å, 90.00 90.00 90.00°
Atoms (fractional coordinates):
Y (0.250, 0.195, 0.556)
Y (0.750, 0.460, 0.720)
Y (0.750, 0.305, 0.056)
Y (0.750, 0.960, 0.780)
Y (0.250, 0.695, 0.944)
Y (0.250, 0.540, 0.280)
Y (0.250, 0.040, 0.220)
Y (0.750, 0.805, 0.444)
Sc (0.250, 0.204, 0.883)
Sc (0.250, 0.704, 0.617)
Sc (0.750, 0.796, 0.117)
Sc (0.750, 0.296, 0.383)

## Properties
- V: 28.207 Å³/atom
- Spin magnetization: 0.0 μB per formula unit

Entry two
Y2Sc | PBEsol | optimized geometry

Cell: 3.488 6.428 8.090 Å, 102.25 90.00 105.74°
Atoms (fractional coordinates):
Y (0.717, 0.434, 0.950)
Y (0.060, 0.119, 0.605)
Y (0.336, 0.672, 0.671)
Y (0.388, 0.777, 0.275)
Sc (0.665, 0.330, 0.327)
Sc (0.001, 0.001, 0.006)

## Properties
- V: 28.380 Å³/atom
- Spin magnetization: 0.0 μB per formula unit

Entry three
Y2Sc | PBEsol | optimized geometry

Cell: 3.407 9.294 9.294 Å, 120.00 90.00 90.00°
Atoms (fractional coordinates):
Y (0.000, 0.000, 0.301)
Y (0.500, 0.634, 0.000)
Y (0.500, 0.000, 0.634)
Y (0.500, 0.366, 0.366)
Y (0.000, 0.699, 0.699)
Y (0.000, 0.301, 0.000)
Sc (0.500, 0.000, 0.000)
Sc (0.000, 0.667, 0.333)
Sc (0.000, 0.333, 0.667)

## Properties
- V: 28.322 Å³/atom
- Spin magnetization: 0.5 μB per formula unit

Quick one: least stable of them? entry one

Entry one
YSc5 | PBEsol | optimized geometry

Cell: 5.150 5.764 5.764 Å, 120.00 90.00 90.00°
Atoms (fractional coordinates):
Y (0.500, 0.000, 0.000)
Sc (0.500, 0.667, 0.333)
Sc (0.000, 0.341, 0.341)
Sc (0.500, 0.333, 0.667)
Sc (0.000, 0.659, 0.000)
Sc (0.000, 0.000, 0.659)

## Properties
- V: 24.697 Å³/atom
- Spin magnetization: 0.0 μB per formula unit

Entry two
YSc5 | PBEsol | optimized geometry

Cell: 4.615 4.614 7.284 Å, 71.53 90.00 90.00°
Atoms (fractional coordinates):
Sc (0.500, 0.169, 0.662)
Sc (0.000, 0.330, 0.340)
Sc (0.500, 0.500, 0.000)
Sc (0.000, 0.670, 0.660)
Sc (0.500, 0.831, 0.338)
Y (0.000, 0.000, 0.000)

## Properties
- V: 24.519 Å³/atom
- Spin magnetization: 0.0 μB per formula unit

Quick one: least stable of them? entry two

Entry one
YScZn | PBEsol | optimized geometry

Cell: 3.398 3.398 6.305 Å, 105.63 105.63 90.00°
Atoms (fractional coordinates):
Zn (0.345, 0.345, 0.691)
Sc (0.972, 0.972, 0.943)
Y (0.683, 0.683, 0.366)

## Properties
- V: 22.437 Å³/atom
- Spin magnetization: 0.0 μB per formula unit

Entry two
YScZn | PBEsol | optimized geometry

Cell: 4.899 6.209 8.730 Å, 90.00 90.00 90.00°
Atoms (fractional coordinates):
Y (0.250, 0.680, 0.079)
Y (0.750, 0.820, 0.579)
Y (0.250, 0.180, 0.421)
Y (0.750, 0.320, 0.921)
Zn (0.250, 0.207, 0.094)
Zn (0.250, 0.707, 0.406)
Zn (0.750, 0.293, 0.594)
Zn (0.750, 0.793, 0.906)
Sc (0.750, 0.987, 0.201)
Sc (0.250, 0.013, 0.799)
Sc (0.250, 0.513, 0.701)
Sc (0.750, 0.487, 0.299)

## Properties
- V: 22.127 Å³/atom
- Spin magnetization: 0.0 μB per formula unit

Quick one: least stable of them? entry one